Entry 1:
La2MoC2, optimized geometry, DFT PBE; energy above the most stable polymorph in this dataset = 0 kJ/mol of formula units; D(E_F) = 0.706 states/eV per atom; DFT formation energy = -0.13 eV per atom
1.0
6.858 0.000 0.000
0.000 5.492 0.000
0.000 0.000 10.540
La Mo C
8 4 8
Direct
0.030 0.250 0.216
0.190 0.250 0.550
0.310 0.750 0.050
0.470 0.750 0.716
0.530 0.250 0.284
0.690 0.250 0.950
0.810 0.750 0.450
0.970 0.750 0.784
0.224 0.250 0.858
0.276 0.750 0.358
0.724 0.250 0.642
0.776 0.750 0.142
0.041 0.750 0.243
0.195 0.750 0.535
0.305 0.250 0.035
0.459 0.250 0.743
0.541 0.750 0.257
0.695 0.750 0.965
0.805 0.250 0.465
0.959 0.250 0.757

***

Entry 2:
PaZnGe2Rh5, optimized geometry, DFT PBE; D(E_F) = 0.408 states/eV per atom; DFT formation energy = -0.52 eV per atom
1.0
4.108 0.000 0.000
0.000 4.108 0.000
0.000 0.000 9.009
Pa Zn Ge Rh
1 1 2 5
Direct
0.000 0.000 0.000
0.000 0.000 0.500
0.500 0.500 0.367
0.500 0.500 0.633
0.000 0.500 0.225
0.000 0.500 0.775
0.500 0.000 0.225
0.500 0.000 0.775
0.500 0.500 0.000

***

Entry 3:
ZnNi2Pd, optimized geometry, DFT PBE; D(E_F) = 1.090 states/eV per atom; DFT formation energy = 0.17 eV per atom
1.0
-1.768 1.768 8.891
1.768 -1.768 8.891
1.768 1.768 -8.891
Zn Ni Pd
2 4 2
Direct
0.000 0.000 0.000
0.750 0.250 0.500
0.117 0.625 0.992
0.375 0.367 0.492
0.633 0.125 0.008
0.875 0.883 0.508
0.250 0.750 0.500
0.500 0.500 0.000

***

Entry 4:
NaRuRh, optimized geometry, DFT PBE; energy above the most stable polymorph in this dataset = 21 kJ/mol of formula units; D(E_F) = 0.339 states/eV per atom; DFT formation energy = 0.36 eV per atom
1.0
-2.068 3.516 3.701
2.068 -3.516 3.701
2.068 3.516 -3.701
Na Ru Rh
2 2 2
Direct
0.154 0.250 0.404
0.846 0.750 0.596
0.569 0.910 0.160
0.750 0.410 0.840
0.226 0.581 0.145
0.436 0.081 0.855

***

Entry 5:
LaRu2Pb, optimized geometry, DFT PBE; D(E_F) = 0.933 states/eV per atom; DFT formation energy = 0.15 eV per atom
1.0
5.378 -1.629 0.000
5.378 1.629 0.000
-1.577 0.000 4.651
La Ru Pb
1 2 1
Direct
0.000 0.000 0.000
0.477 0.477 0.495
0.768 0.768 0.154
0.222 0.222 0.630

***

Entry 6:
AcAlZn2Ni4, optimized geometry, DFT PBE; D(E_F) = 0.502 states/eV per atom; DFT formation energy = -0.33 eV per atom
1.0
2.046 1.181 8.662
-2.046 1.181 8.662
0.000 -2.363 8.662
Ac Al Zn Ni
1 1 2 4
Direct
0.000 0.000 0.000
0.500 0.500 0.500
0.233 0.233 0.233
0.767 0.767 0.767
0.134 0.134 0.134
0.409 0.409 0.409
0.591 0.591 0.591
0.866 0.866 0.866

***

Q: What is the DFT formation energy in the sixth record?
A: -0.33 eV per atom